1.
Material: Zr2OsRh
Method: DFT, GGA-PBE
State: relaxed Values from VASP.

Results
DOS(E_F) ... 3.7 states/eV per cell
Calculated formation energy ... -0.224 eV/atom
Raw total energy ... -9.143 eV per atom
SG ... R-3m (166)

Quantum ESPRESSO input file:
```
&SYSTEM
  ibrav = 0, nat = 4, ntyp = 3
/
ATOMIC_SPECIES
Zr 91.22 Zr.upf
Os 190.23 Os.upf
Rh 102.91 Rh.upf
ATOMIC_POSITIONS angstrom
Zr -5.036 12.965 -20.481
Zr -2.524 6.498 -10.266
Os -1.260 3.244 -5.124
Rh -3.780 9.732 -15.373
CELL_PARAMETERS angstrom
-1.653 5.900 -5.842
-0.116 3.693 -7.617
-3.270 3.382 -7.038
```

2.
Material: ZrOsRh2
Method: DFT, GGA-PBE
State: relaxed Values from VASP.

Results
DOS(E_F) ... 4.8 states/eV per cell
Polymorph energy (0 for the lowest one) ... 0.4396 eV per atom
Calculated formation energy ... 0.023 eV/atom
Raw total energy ... -8.597 eV per atom
SG ... R-3m (166)

Quantum ESPRESSO input file:
```
&SYSTEM
  ibrav = 0, nat = 4, ntyp = 3
/
ATOMIC_SPECIES
Rh 102.91 Rh.upf
Zr 91.22 Zr.upf
Os 190.23 Os.upf
ATOMIC_POSITIONS angstrom
Rh -0.008 -0.151 0.024
Rh -0.702 -13.480 2.122
Zr -0.355 -6.815 1.073
Os -1.065 -20.446 3.219
CELL_PARAMETERS angstrom
-1.956 -9.116 0.760
0.845 -9.302 0.500
-0.308 -8.844 3.032
```

3.
Material: Zr2OsRh2
Method: DFT, GGA-PBE
State: relaxed Values from VASP.

Results
DOS(E_F) ... 5.2 states/eV per cell
Polymorph energy (0 for the lowest one) ... 0.2770 eV per atom
Calculated formation energy ... -0.096 eV/atom
Raw total energy ... -8.702 eV per atom
SG ... I4/mmm (139)

Quantum ESPRESSO input file:
```
&SYSTEM
  ibrav = 0, nat = 5, ntyp = 3
/
ATOMIC_SPECIES
Zr 91.22 Zr.upf
Os 190.23 Os.upf
Rh 102.91 Rh.upf
ATOMIC_POSITIONS angstrom
Zr 0.000 0.000 9.101
Zr 0.000 0.000 5.963
Os 0.000 0.000 0.000
Rh 1.760 0.000 3.766
Rh 0.000 1.760 3.766
CELL_PARAMETERS angstrom
-1.760 1.760 7.532
1.760 -1.760 7.532
1.760 1.760 -7.532
```

4.
Material: ZrOsRh2
Method: DFT, GGA-PBE
State: relaxed Values from VASP.

Results
DOS(E_F) ... 2.9 states/eV per cell
Polymorph energy (0 for the lowest one) ... 0.1412 eV per atom
Calculated formation energy ... -0.275 eV/atom
Raw total energy ... -8.895 eV per atom
SG ... Cm (8)

Quantum ESPRESSO input file:
```
&SYSTEM
  ibrav = 0, nat = 4, ntyp = 3
/
ATOMIC_SPECIES
Rh 102.91 Rh.upf
Zr 91.22 Zr.upf
Os 190.23 Os.upf
ATOMIC_POSITIONS angstrom
Rh 2.408 -7.992 -1.132
Rh -1.261 -8.977 -1.873
Zr 1.655 -5.371 -0.755
Os 0.601 -2.643 -0.404
CELL_PARAMETERS angstrom
-0.901 -4.744 0.442
-0.480 -4.224 -2.331
4.570 -1.710 0.373
```